An optimized crystal structure of Li2AgPb, computed with PBE. Values from VASP.

```
&SYSTEM
  ibrav = 0, nat = 4, ntyp = 3
/
ATOMIC_SPECIES
Ag 107.87 Ag.upf
Li 6.94 Li.upf
Pb 207.20 Pb.upf
CELL_PARAMETERS angstrom
0.000 3.341 3.341
3.341 0.000 3.341
3.341 3.341 0.000
ATOMIC_POSITIONS angstrom
Ag 1.671 1.671 1.671
Li 0.000 0.000 0.000
Li 5.012 5.012 5.012
Pb 3.341 3.341 3.341
```

Calculated values
As for the crystal system: cubic. The calculation puts the mass density at 7322 kg/m³. The value obtained for the total energy is -2.8560 eV/atom. The calculation puts the calculated volume at 74.60 Å³/cell.